First-principles (PBE-GGA) data for a relaxed CaTbTm2In4 crystal, as listed in Alexandria via LeMat-Bulk.

Symmetry   No. 166
Fermi-level density of states   0.61 states/eV/atom
Uncorrected energy   -3.754 eV per atom
E_form   -438 meV/atom

Cell: 5.3139 5.3139 9.2424 Å, 73.29 73.29 60.00°
With the nearest neighbours (Å) after each atom.
Positions (direct):
Ca 0.5000 0.5000 0.5000  8 In 3.26-3.29
In 0.3743 0.3743 0.8770  3 Tb 3.25, 4 Tm 3.27-3.28, 1 Ca 3.29
In 0.8757 0.8757 0.3728  4 Tm 3.24-3.26, 1 Tb 3.25, 3 Ca 3.26
Tb 0.0000 0.0000 0.0000  8 In 3.25
Tm 0.2487 0.2487 0.2538  8 In 3.24-3.28
In 0.6257 0.6257 0.1230  3 Tb 3.25, 4 Tm 3.27-3.28, 1 Ca 3.29
Tm 0.7513 0.7513 0.7462  8 In 3.24-3.28
In 0.1243 0.1243 0.6272  4 Tm 3.24-3.26, 1 Tb 3.25, 3 Ca 3.26